(1)
ReTc2: PBEsol geometry, meta-GGA SCAN.

Unit cell a=2.7173 b=3.8509 c=8.1623 alpha=90.00 beta=90.00 gamma=90.00
Space group Immm (No. 71)
Asymmetric unit:
Re  0.0000  0.0000  0.0000 (multiplicity 2)
Tc  0.0000  0.0000  0.3330 (multiplicity 4)

The calculation puts the density of states at the Fermi level at 5.23 states/eV/cell. The total energy is -47.027 eV per atom. Its excess energy over the best structure of this formula in the dataset is 5.0 kJ/mol of atoms.

=====

(2)
Re3Tc: PBEsol geometry, meta-GGA SCAN.

Unit cell a=3.8720 b=3.8720 c=15.4760 alpha=90.00 beta=90.00 gamma=90.00
Space group I4/mmm (No. 139)
Asymmetric unit:
Re  0.0000  0.0000  0.1254 (multiplicity 4)
Re  0.0000  0.5000  0.0000 (multiplicity 4)
Re  0.0000  0.5000  0.2500 (multiplicity 4)
Tc  0.0000  0.0000  0.3754 (multiplicity 4)

The calculation puts the density of states at the Fermi level at 12.30 states/eV/cell. The total energy is -62.047 eV per atom. Its excess energy over the best structure of this formula in the dataset is 4.8 kJ/mol of atoms.

=====

(3)
ReTc3: PBEsol geometry, meta-GGA SCAN.

Unit cell a=2.7277 b=2.7277 c=8.7626 alpha=90.00 beta=90.00 gamma=120.00
Space group P-6m2 (No. 187)
Asymmetric unit:
Re  0.0000  0.0000  0.0000 (multiplicity 1)
Tc  0.0000  0.0000  0.5000 (multiplicity 1)
Tc  0.6667  0.3333  0.2522 (multiplicity 2)

The calculation puts the density of states at the Fermi level at 3.45 states/eV/cell. The total energy is -44.075 eV per atom. Its excess energy over the best structure of this formula in the dataset is 1.1 kJ/mol of atoms.

=====

(4)
Re3Tc: PBEsol geometry, meta-GGA SCAN.

Unit cell a=9.0680 b=2.7403 c=4.7400 alpha=90.00 beta=99.98 gamma=90.00
Space group C2/m (No. 12)
Asymmetric unit:
Re  0.0000  0.0000  0.0000 (multiplicity 2)
Re  0.2499  0.0000  0.7480 (multiplicity 4)
Tc  0.0000  0.5000  0.5000 (multiplicity 2)

The calculation puts the density of states at the Fermi level at 6.23 states/eV/cell. The total energy is -62.046 eV per atom. Its excess energy over the best structure of this formula in the dataset is 4.9 kJ/mol of atoms.

=====

no.,energy of formation from the pure elements (eV per atom)
1,0.045
2,0.041
3,-0.006
4,0.042